Entry 1:
First-principles (PBE) data for NpMn4Ga8 after structural relaxation, as listed in Alexandria via LeMat-Bulk.

Unit cell a=8.823 b=8.823 c=5.171 alpha=90.00 beta=90.00 gamma=90.00
Space group I4/mmm (No. 139)
One atom of each set of equivalent atoms:
Np 0.000 0.000 0.000
Mn 0.250 0.250 0.250
Ga 0.000 0.225 0.500
Ga 0.000 0.334 0.000

Summary:
E_form: -124 meV per atom
D(E_F): 14.897 states/eV/f.u.
uncorrected energy: -5.80 eV/atom

=====

Entry 2:
First-principles (PBE) data for La2ZnHg after structural relaxation, as listed in Alexandria via LeMat-Bulk.

Unit cell a=3.847 b=3.846 c=7.601 alpha=90.00 beta=90.05 gamma=90.00
Space group P2/m (No. 10)
One atom of each set of equivalent atoms:
La 0.001 0.000 0.232
Zn 0.500 0.500 0.000
Hg 0.500 0.500 0.500

Summary:
E_form: -417 meV per atom
energy above the most stable polymorph in this dataset: 0 meV per atom
D(E_F): 3.260 states/eV/f.u.
uncorrected energy: -3.27 eV/atom

=====

D(E_F) of number 2 (La2ZnHg)? 3.260 states/eV/f.u.

=====

Please write out number 2 again, unchanged.
First-principles (PBE) data for La2ZnHg after structural relaxation, as listed in Alexandria via LeMat-Bulk.

Unit cell a=3.847 b=3.846 c=7.601 alpha=90.00 beta=90.05 gamma=90.00
Space group P2/m (No. 10)
One atom of each set of equivalent atoms:
La 0.001 0.000 0.232
Zn 0.500 0.500 0.000
Hg 0.500 0.500 0.500

Summary:
E_form: -417 meV per atom
energy above the most stable polymorph in this dataset: 0 meV per atom
D(E_F): 3.260 states/eV/f.u.
uncorrected energy: -3.27 eV/atom